<one>
## ZrNi3Mo (PBE)

Data for an optimized crystal structure of ZrNi3Mo.

Cell lengths 4.443, 4.443, 4.443 Å; angles 90.00, 90.00, 90.00 degrees
Fractional positions:
Ni  0.000  0.500  0.000
Ni  0.000  0.000  0.500
Ni  0.500  0.000  0.000
Mo  0.000  0.000  0.000
Zr  0.500  0.500  0.500

<two>
## ZrNi3Mo (PBE)

Data for an optimized crystal structure of ZrNi3Mo.

Cell lengths 4.446, 4.446, 4.446 Å; angles 90.00, 90.00, 90.00 degrees
Fractional positions:
Ni  0.000  0.500  0.000
Ni  0.000  0.000  0.500
Ni  0.500  0.000  0.000
Mo  0.500  0.500  0.500
Zr  0.000  0.000  0.000

Which is most stable? The ranking, best first, is <one>, <two>.